Entry 1:
AgGePt2: optimized geometry, PBE-GGA.

Its calculated formation energy is -0.5 eV/f.u. The value obtained for the volume is 71.2 Å³/cell.

```
4
Lattice="4.138 0.000 0.000 2.069 3.584 0.000 2.069 1.195 4.798" Properties=species:S:1:pos:R:3 pbc="T T T"
Pt 2.069 1.195 0.894
Ag 4.138 2.389 2.495
Pt 2.069 1.195 3.940
Ge 6.208 3.584 4.667
```

---

Entry 2:
Mn3Nb2Ru: optimized geometry, PBE-GGA.

Its calculated formation energy is -0.8 eV/f.u. The value obtained for the volume is 84.9 Å³/cell.

```
6
Lattice="4.304 -0.092 -2.248 -2.722 4.014 -0.243 -0.107 0.137 4.983" Properties=species:S:1:pos:R:3 pbc="T T T"
Mn -0.054 0.069 2.492
Nb 2.204 1.466 -1.128
Mn 2.098 0.022 1.368
Nb -0.729 2.593 3.621
Ru 0.000 0.000 0.000
Mn 0.737 2.029 1.246
```

---

Entry 3:
Nd3N: optimized geometry, PBE-GGA.

The uncorrected formation energy is -0.401 eV/atom. The value obtained for the volume is 126.4 Å³/cell. The energy above the most stable polymorph in this dataset comes out at 0.850 eV per formula unit.

```
4
Lattice="-1.076 -3.029 -1.750 3.259 -0.203 -1.653 3.278 -5.269 7.108" Properties=species:S:1:pos:R:3 pbc="T T T"
Nd 2.096 -0.851 0.185
Nd 0.908 -3.839 2.260
N 0.956 -1.537 2.073
Nd 3.686 -5.787 3.926
```

---

Entry 4:
MgTa2Se: optimized geometry, PBE-GGA.

The uncorrected formation energy is 0.096 eV/atom. The value obtained for the volume is 77.3 Å³/cell. The energy above the most stable polymorph in this dataset comes out at 0.440 eV per formula unit.

```
4
Lattice="4.532 0.000 0.000 0.000 3.287 0.026 0.000 1.631 5.204" Properties=species:S:1:pos:R:3 pbc="T T T"
Ta 0.000 2.664 0.264
Se 2.266 4.305 3.866
Mg 0.000 2.678 2.997
Ta 2.266 1.017 0.744
```

---

Entry 5:
YTh2C: optimized geometry, PBE-GGA.

Its calculated formation energy is 0.0 eV/f.u. The value obtained for the volume is 109.6 Å³/cell.

```
4
Lattice="3.579 0.000 0.000 1.790 3.100 0.000 1.790 1.033 9.878" Properties=species:S:1:pos:R:3 pbc="T T T"
Th 5.369 3.100 3.454
Th 1.790 1.033 6.423
Y 0.000 0.000 0.000
C 3.579 2.066 4.939
```

---

Entry 6:
LiTi2Rh: optimized geometry, PBE-GGA.

Its calculated formation energy is 0.0 eV/f.u. The value obtained for the volume is 66.2 Å³/cell.

```
4
Lattice="-2.690 -0.527 0.415 -1.338 -1.771 -1.661 1.064 -8.270 5.646" Properties=species:S:1:pos:R:3 pbc="T T T"
Ti -3.361 -4.377 0.434
Ti 0.397 -6.191 3.967
Li 0.000 0.000 0.000
Rh -1.482 -5.284 2.200
```

---

Entry 7:
KNpSb2: optimized geometry, PBE-GGA.

The uncorrected formation energy is -0.231 eV/atom. The value obtained for the volume is 129.2 Å³/cell. The energy above the most stable polymorph in this dataset comes out at 0.000 eV per formula unit.

```
4
Lattice="4.078 0.000 0.000 0.000 4.078 0.000 0.000 0.000 7.768" Properties=species:S:1:pos:R:3 pbc="T T T"
Np 2.039 2.039 0.000
Sb 0.000 0.000 6.279
K 2.039 2.039 3.884
Sb 0.000 0.000 1.489
```

---

Entry 8:
Li2CePd4: optimized geometry, PBE-GGA.

Its calculated formation energy is -2.6 eV/f.u. The value obtained for the volume is 125.3 Å³/cell.

```
7
Lattice="-4.219 1.113 -3.354 3.765 -2.381 -3.232 -2.223 -2.870 4.136" Properties=species:S:1:pos:R:3 pbc="T T T"
Pd 1.882 -1.190 -1.616
Li -0.227 -0.634 -3.293
Pd -2.109 0.557 -1.677
Pd -1.111 -1.435 2.068
Li -3.221 -0.878 0.391
Pd -1.338 -2.069 -1.225
Ce 0.000 0.000 0.000
```